(1)
Here is an optimized crystal structure of HfPaVMo from the Alexandria database. Energies are from GGA-PBE.

The structure in POSCAR format:
```
HfPaVMo
1.0
4.7483 0.0000 0.0000
2.3742 4.1122 0.0000
2.3742 1.3707 3.8770
Pa Hf V Mo
1 1 1 1
direct
0.2500 0.2500 0.2500
0.7500 0.7500 0.7500
0.5000 0.5000 0.5000
0.0000 0.0000 0.0000
```

Summary:
Size of the total moment ... 0.0 μB per formula unit
DFT total energy ... -9.818 eV per atom

***

(2)
Here is an optimized crystal structure of SiTeN2Cl from the Alexandria database. Energies are from GGA-PBE.

The structure in POSCAR format:
```
SiTeN2Cl
1.0
-2.3145 3.0205 1.5881
-2.4809 -0.1717 -3.2891
-3.0532 -3.6505 2.4934
Te Si N Cl
1 1 2 1
direct
0.0000 0.0000 0.5000
0.5000 0.5000 0.5000
0.0000 0.5000 0.0000
0.5000 0.0000 0.0000
0.0000 0.0000 0.0000
```

Summary:
Size of the total moment ... 2.3 μB per formula unit
DFT total energy ... -3.160 eV per atom

***

(3)
Here is an optimized crystal structure of Na2IrO5 from the Alexandria database. Energies are from GGA-PBE.

The structure in POSCAR format:
```
Na2IrO5
1.0
5.2253 0.0000 2.2533
1.7476 5.5319 3.1326
0.0357 -0.0556 7.1026
Na Ir O
4 2 10
direct
0.2987 0.6153 0.8097
0.2763 0.1153 0.3097
0.6035 0.9518 0.8195
0.6252 0.4518 0.3195
0.9510 0.2836 0.8145
0.9509 0.7836 0.3145
0.6218 0.7218 0.4583
0.1140 0.5336 0.5644
0.2801 0.8454 0.1706
0.8398 0.0151 0.4381
0.7039 0.3454 0.6706
0.7880 0.0336 0.0644
0.0620 0.5519 0.1910
0.1951 0.0519 0.6910
0.7070 0.5151 0.9381
0.1982 0.2218 0.9583
```

Summary:
Size of the total moment ... 0.7 μB per formula unit
DFT total energy ... -5.434 eV per atom

***

(4)
Here is an optimized crystal structure of LaHo2Er4 from the Alexandria database. Energies are from GGA-PBE.

The structure in POSCAR format:
```
LaHo2Er4
1.0
-3.5707 -4.5483 4.0249
7.0584 -4.4783 -1.8782
1.2828 6.6426 5.5908
La Ho Er
2 4 8
direct
0.9199 0.0104 0.9014
0.2207 0.6754 0.4463
0.8005 0.4134 0.0336
0.4450 0.8345 0.1720
0.7200 0.6758 0.4373
0.1290 0.1365 0.6071
0.9453 0.8368 0.1796
0.6242 0.1285 0.6029
0.0268 0.5656 0.7751
0.8282 0.2421 0.3163
0.3338 0.2390 0.3156
0.4210 0.0125 0.9024
0.3076 0.4139 0.0378
0.5281 0.5657 0.7725
```

Summary:
Size of the total moment ... 0.0 μB per formula unit
DFT total energy ... -4.577 eV per atom